1.
Entry from the Alexandria database: a geometry-optimized IrAu2Se structure (PBE-GGA).

Lattice parameters (Å, degrees): 7.494 7.494 5.927 50.79 50.79 90.00
Atoms (fractional coordinates):
Au1 0.375 0.377 0.750
Au2 0.127 0.625 0.250
Ir1 0.750 0.250 0.500
Se1 0.250 0.750 0.500
Au3 0.875 0.873 0.750
Au4 0.623 0.125 0.250
Ir2 0.000 0.000 0.000
Se2 0.500 0.500 0.000

Output
For the density of states at the Fermi level, the calculation gives 1.157 states/eV/atom. As for the electronic total energy: -4.194 eV per atom. The calculation puts the volume at 18.641 Å³/atom.


2.
Entry from the Alexandria database: a geometry-optimized IrAu2Se structure (PBE-GGA).

Lattice parameters (Å, degrees): 3.493 2.812 7.983 90.00 90.00 90.00
Atoms (fractional coordinates):
Au1 0.500 0.250 0.269
Ir1 0.000 0.750 0.496
Se1 0.500 0.750 0.695
Au2 0.000 0.750 0.040

Output
For the density of states at the Fermi level, the calculation gives 0.486 states/eV/atom. As for the electronic total energy: -4.535 eV per atom. The calculation puts the volume at 19.606 Å³/atom.